(1)
Computed, not measured: an optimized crystal structure of YGaIrO6 at the GGA-PBE level of DFT.

- energy relative to the elements, uncorrected (eV per atom) = -1.75

a b c (Å): 5.176 5.176 9.765
angles (deg): 90.00 90.00 120.00
Each line ends with the local moment (μB).
Element x y z (fractional)
Y  0.000  0.000  0.000  0.03
Y  0.000  0.000  0.500  0.03
Ga  0.333  0.667  0.250  0.02
Ga  0.667  0.333  0.750  0.02
Ir  0.667  0.333  0.250  1.23
Ir  0.333  0.667  0.750  1.23
O  0.645  0.637  0.140  0.15
O  0.992  0.355  0.140  0.15
O  0.355  0.992  0.640  0.15
O  0.008  0.645  0.860  0.15
O  0.363  0.355  0.360  0.15
O  0.992  0.637  0.360  0.15
O  0.637  0.992  0.860  0.15
O  0.645  0.008  0.360  0.15
O  0.008  0.363  0.640  0.15
O  0.363  0.008  0.140  0.15
O  0.637  0.645  0.640  0.15
O  0.355  0.363  0.860  0.15



(2)
Computed, not measured: an optimized crystal structure of BaMn4Pb at the GGA-PBE level of DFT.

- DFT formation energy (meV/atom) = 587

a b c (Å): 5.731 5.731 5.731
angles (deg): 60.00 60.00 60.00
Each line ends with the local moment (μB).
Element x y z (fractional)
Ba  0.000  0.000  0.000  0.01
Mn  0.873  0.376  0.376  3.75
Mn  0.376  0.376  0.873  3.75
Mn  0.376  0.873  0.376  3.75
Mn  0.376  0.376  0.376  3.75
Pb  0.750  0.750  0.750  -0.04